Computed, not measured: a relaxed BaPm3 crystal at the PBE-GGA level of DFT.

Total energy: -3.85 eV per atom
Excess energy over the best structure of this formula in the dataset: 19 meV/atom
Density of states at the Fermi level: 14.6 states/eV/cell
DFT formation energy: 0.198 eV per atom
M_tot: 0.000 μB per formula unit

The structure in CIF format:
```
data_BaPm3
_cell_length_a 5.369
_cell_length_b 5.369
_cell_length_c 10.661
_cell_angle_alpha 90.00
_cell_angle_beta 90.00
_cell_angle_gamma 90.00
_symmetry_space_group_name_H-M 'I 4/m m m'
_symmetry_Int_Tables_number 139
_symmetry_space_group_name_Hall '-I 4 2'
loop_
_atom_site_label
_atom_site_type_symbol
_atom_site_fract_x
_atom_site_fract_y
_atom_site_fract_z
Ba1 Ba 0.000 0.000 0.000
Pm1 Pm 0.000 0.000 0.500
Pm2 Pm 0.000 0.500 0.250
```